Rb6TeI3Br2 after structural relaxation. Source: Alexandria via LeMat-Bulk, functional PBE-GGA.

abc: 9.1088 9.1088 8.7563
angles: 99.99 99.99 119.79
With the nearest neighbours (Å) after each atom.
Sites, in units of the cell vectors:
Rb (0.0712, 0.4207, 0.7634)  2 Br 3.54-3.55, 3 I 3.69-3.80, 1 Te 3.73
Rb (0.2279, 0.2279, 0.2330)  2 Br 3.54, 3 I 3.63-3.74, 1 Te 3.72
Rb (0.4207, 0.0712, 0.7634)  2 Br 3.54-3.55, 3 I 3.69-3.80, 1 Te 3.73
Rb (0.5793, 0.9288, 0.2366)  2 Br 3.54-3.55, 3 I 3.69-3.80, 1 Te 3.73
Rb (0.7721, 0.7721, 0.7670)  2 Br 3.54, 3 I 3.63-3.74, 1 Te 3.72
Rb (0.9288, 0.5793, 0.2366)  2 Br 3.54-3.55, 3 I 3.69-3.80, 1 Te 3.73
Te (0.5000, 0.5000, 0.0000)  6 Rb 3.72-3.73
I (0.0000, 0.0000, 0.5000)  6 Rb 3.63-3.79
I (0.3403, 0.6597, 0.5000)  6 Rb 3.69-3.80
I (0.6597, 0.3403, 0.5000)  6 Rb 3.69-3.80
Br (0.1676, 0.8324, 0.0000)  6 Rb 3.54-3.55
Br (0.8324, 0.1676, 0.0000)  6 Rb 3.54-3.55

Computed properties:
The density of states at the Fermi level comes out at 0.42 states/eV per atom. As for the uncorrected formation energy: -1.384 eV per atom.



Rb2ThI4Br2 after structural relaxation. Source: Alexandria via LeMat-Bulk, functional PBE-GGA.

abc: 8.3971 8.3971 8.5861
angles: 120.05 120.05 61.76
With the nearest neighbours (Å) after each atom.
Sites, in units of the cell vectors:
Rb (0.2452, 0.2452, 0.2480)  1 Br 3.52, 4 I 3.89
Rb (0.7548, 0.7548, 0.7520)  1 Br 3.52, 4 I 3.89
Th (0.0000, 0.0000, 0.5000)  2 Br 2.83, 4 I 3.09
I (0.2071, 0.7032, 0.2071)  1 Th 3.09
I (0.2968, 0.7929, 0.7929)  1 Th 3.09
I (0.7032, 0.2071, 0.2071)  1 Th 3.09
I (0.7929, 0.2968, 0.7929)  1 Th 3.09
Br (0.2342, 0.2342, 0.6470)  1 Th 2.83
Br (0.7658, 0.7658, 0.3530)  1 Th 2.83

Computed properties:
The density of states at the Fermi level comes out at 0.00 states/eV per atom. As for the uncorrected formation energy: -1.517 eV per atom.



RbThI2Br6 after structural relaxation. Source: Alexandria via LeMat-Bulk, functional PBE-GGA.

abc: 7.3910 8.4244 8.4888
angles: 68.41 80.53 79.21
With the nearest neighbours (Å) after each atom.
Sites, in units of the cell vectors:
Rb (0.0000, 0.0000, 0.0000)  5 Br 3.44-3.79
Th (0.5781, 0.8326, 0.4812)  5 Br 2.79-2.92
I (0.3059, 0.5572, 0.5188)  1 Br 2.77
I (0.7501, 0.4355, 0.0360)  2 Br 2.83-3.16
Br (0.2908, 0.0088, 0.6375)  1 Th 2.79
Br (0.4513, 0.9941, 0.1556)  1 Th 2.82
Br (0.5265, 0.4801, 0.7782)  2 I 2.77-2.83
Br (0.7960, 0.1154, 0.3761)  1 Th 2.91, 1 I 3.16
Br (0.8134, 0.7959, 0.7410)  1 Th 2.92, 1 I 3.20
Br (0.8743, 0.6411, 0.3379)  1 Th 2.85

Computed properties:
The density of states at the Fermi level comes out at 0.18 states/eV per atom. As for the uncorrected formation energy: -1.145 eV per atom.



Rb2ThI5Br after structural relaxation. Source: Alexandria via LeMat-Bulk, functional PBE-GGA.

abc: 8.4899 8.4899 8.4899
angles: 118.60 118.60 92.44
With the nearest neighbours (Å) after each atom.
Sites, in units of the cell vectors:
Rb (0.0000, 0.5000, 0.5000)  10 I 4.18-4.34, 2 Br 4.34
Rb (0.5000, 0.0000, 0.5000)  10 I 4.18-4.34, 2 Br 4.34
Th (0.2465, 0.2465, 0.0000)  1 Br 2.81, 5 I 3.06-3.08
I (0.4930, 0.4930, 0.5030)  1 Th 3.08
I (0.4930, 0.9900, 0.0000)  1 Th 3.08
I (0.9857, 0.9857, 0.0000)  1 Th 3.06
I (0.9900, 0.4930, 0.0000)  1 Th 3.08
I (0.9900, 0.9900, 0.4970)  1 Th 3.08
Br (0.4859, 0.4859, 0.0000)  1 Th 2.81

Computed properties:
The density of states at the Fermi level comes out at 0.00 states/eV per atom. As for the uncorrected formation energy: -1.432 eV per atom.



Rb2TiIBr5 after structural relaxation. Source: Alexandria via LeMat-Bulk, functional PBE-GGA.

abc: 7.7535 7.7535 7.7535
angles: 120.49 120.49 89.16
With the nearest neighbours (Å) after each atom.
Sites, in units of the cell vectors:
Rb (0.0000, 0.5000, 0.5000)  2 I 3.85, 10 Br 3.85-3.88
Rb (0.5000, 0.0000, 0.5000)  2 I 3.85, 10 Br 3.85-3.88
Ti (0.2569, 0.2569, 0.0000)  5 Br 2.52
I (0.0008, 0.0008, 0.0000)  1 Ti 2.83
Br (0.0184, 0.0184, 0.5366)  1 Ti 2.52
Br (0.0184, 0.4818, 0.0000)  1 Ti 2.52
Br (0.4818, 0.0184, 0.0000)  1 Ti 2.52
Br (0.4818, 0.4818, 0.4634)  1 Ti 2.52
Br (0.4853, 0.4853, 0.0000)  1 Ti 2.52

Computed properties:
As for the uncorrected formation energy: -1.398 eV per atom.



RbTiIBr4 after structural relaxation. Source: Alexandria via LeMat-Bulk, functional PBE-GGA.

abc: 8.8805 8.8805 9.2358
angles: 107.79 107.79 66.99
With the nearest neighbours (Å) after each atom.
Sites, in units of the cell vectors:
Rb (0.1764, 0.1764, 0.2848)  7 Br 3.52-3.84, 1 I 3.88
Rb (0.8236, 0.8236, 0.7152)  7 Br 3.52-3.84, 1 I 3.88
Ti (0.2197, 0.2197, 0.7774)  4 Br 2.42-2.54
Ti (0.7803, 0.7803, 0.2226)  4 Br 2.42-2.54
I (0.3779, 0.3779, 0.6962)  1 Ti 2.71
I (0.6221, 0.6221, 0.3038)  1 Ti 2.71
Br (0.0476, 0.6407, 0.3735)  1 Ti 2.42
Br (0.0793, 0.0793, 0.8730)  1 Ti 2.54
Br (0.3283, 0.3283, 0.0468)  1 Ti 2.42
Br (0.3593, 0.9524, 0.6265)  1 Ti 2.42
Br (0.6407, 0.0476, 0.3735)  1 Ti 2.42
Br (0.6717, 0.6717, 0.9532)  1 Ti 2.42
Br (0.9207, 0.9207, 0.1270)  1 Ti 2.54
Br (0.9524, 0.3593, 0.6265)  1 Ti 2.42

Computed properties:
As for the uncorrected formation energy: -1.246 eV per atom.



Rb2TiI4Br2 after structural relaxation. Source: Alexandria via LeMat-Bulk, functional PBE-GGA.

abc: 7.7950 7.7950 6.8387
angles: 96.85 96.85 62.38
With the nearest neighbours (Å) after each atom.
Sites, in units of the cell vectors:
Rb (0.1626, 0.1626, 0.2663)  3 Br 3.78-4.04, 6 I 3.81-3.96
Rb (0.8374, 0.8374, 0.7337)  3 Br 3.78-4.04, 6 I 3.81-3.96
Ti (0.5000, 0.5000, 0.0000)  2 Br 2.50, 4 I 2.79
I (0.1621, 0.6513, 0.2006)  1 Ti 2.79
I (0.3487, 0.8379, 0.7994)  1 Ti 2.79
I (0.6513, 0.1621, 0.2006)  1 Ti 2.79
I (0.8379, 0.3487, 0.7994)  1 Ti 2.79
Br (0.3523, 0.3523, 0.7316)  1 Ti 2.50
Br (0.6477, 0.6477, 0.2684)  1 Ti 2.50

Computed properties:
As for the uncorrected formation energy: -1.176 eV per atom.



Rb2TiI5Br after structural relaxation. Source: Alexandria via LeMat-Bulk, functional PBE-GGA.

abc: 8.0761 8.0761 8.0761
angles: 118.61 118.61 92.43
With the nearest neighbours (Å) after each atom.
Sites, in units of the cell vectors:
Rb (0.0000, 0.5000, 0.5000)  10 I 4.04-4.12, 2 Br 4.13
Rb (0.5000, 0.0000, 0.5000)  10 I 4.04-4.12, 2 Br 4.13
Ti (0.2449, 0.2449, 0.0000)  1 Br 2.48, 1 I 2.77
I (0.0110, 0.0110, 0.5219)  1 Ti 2.79
I (0.0110, 0.4891, 0.0000)  1 Ti 2.79
I (0.4891, 0.0110, 0.0000)  1 Ti 2.79
I (0.4891, 0.4891, 0.4781)  1 Ti 2.79
I (0.4926, 0.4926, 0.0000)  1 Ti 2.77
Br (0.0226, 0.0226, 0.0000)  1 Ti 2.48

Computed properties:
As for the uncorrected formation energy: -1.130 eV per atom.



Rb3Tl2I4Br2 after structural relaxation. Source: Alexandria via LeMat-Bulk, functional PBE-GGA.

abc: 14.5461 14.5461 14.5461
angles: 154.68 154.68 36.12
With the nearest neighbours (Å) after each atom.
Sites, in units of the cell vectors:
Rb (0.0000, 0.0000, 0.0000)  8 I 3.96
Rb (0.1756, 0.1756, 0.0000)  1 Br 3.32
Rb (0.8244, 0.8244, 0.0000)  1 Br 3.32
Tl (0.4000, 0.4000, 0.0000)  1 Br 2.89, 4 I 3.22
Tl (0.6000, 0.6000, 0.0000)  1 Br 2.89, 4 I 3.22
I (0.0848, 0.5848, 0.5000)  2 Tl 3.22
I (0.4152, 0.9152, 0.5000)  2 Tl 3.22
I (0.5848, 0.0848, 0.5000)  2 Tl 3.22
I (0.9152, 0.4152, 0.5000)  2 Tl 3.22
Br (0.2956, 0.2956, 0.0000)  1 Tl 2.89
Br (0.7044, 0.7044, 0.0000)  1 Tl 2.89

Computed properties:
The density of states at the Fermi level comes out at 0.31 states/eV per atom. As for the uncorrected formation energy: -1.064 eV per atom.



RbTlIBr2 after structural relaxation. Source: Alexandria via LeMat-Bulk, functional PBE-GGA.

abc: 5.8790 5.8790 6.1821
angles: 90.00 90.00 90.00
With the nearest neighbours (Å) after each atom.
Sites, in units of the cell vectors:
Rb (0.0000, 0.0000, 0.0000)  4 I 4.16, 8 Br 4.27
Tl (0.5000, 0.5000, 0.5000)  4 Br 2.94, 2 I 3.09
I (0.5000, 0.5000, 0.0000)  2 Tl 3.09
Br (0.0000, 0.5000, 0.5000)  2 Tl 2.94
Br (0.5000, 0.0000, 0.5000)  2 Tl 2.94

Computed properties:
The density of states at the Fermi level comes out at 0.31 states/eV per atom. As for the uncorrected formation energy: -0.954 eV per atom.



Per-record magnetic moment, μB per formula unit: 1.03 0.00 0.00 0.00 0.00 0.00 0.00 0.00 0.00 0.00